A relaxed structure of BaAcIn2Hg4, computed with PBE-GGA.

Computed properties:
The value obtained for the raw total energy is -16.140 eV for the cell shown.

abc: 5.473 5.473 9.543
angles: 73.34 73.34 60.00
Positions (direct):
Ac: 0.500 0.500 0.500
Hg: 0.874 0.874 0.378
In: 0.751 0.751 0.747
Ba: 0.000 0.000 0.000
Hg: 0.377 0.377 0.870
In: 0.249 0.249 0.253
Hg: 0.623 0.623 0.130
Hg: 0.126 0.126 0.622

A relaxed structure of Li2TeH, computed with PBE-GGA.

Computed properties:
As for the polymorph energy (0 for the lowest one): 0.122 eV per formula unit.

abc: 5.863 5.863 5.658
angles: 58.79 58.79 90.00
Positions (direct):
Li: 0.467 0.125 0.250
Te: 0.750 0.250 0.500
H: 0.250 0.750 0.500
H: 0.500 0.500 0.000
Te: 0.000 0.000 0.000
Li: 0.283 0.625 0.250
Li: 0.875 0.717 0.750
Li: 0.375 0.533 0.750

Number 1: calculated volume 233.6 Å³ per cell. Number 2: calculated volume 132.4 Å³ per cell.